Material: TmPPd
Method: DFT, PBE
State: optimized geometry Values from VASP.

```
&SYSTEM
  ibrav = 0, nat = 3, ntyp = 3
/
ATOMIC_SPECIES
Tm 168.93 Tm.upf
P 30.97 P.upf
Pd 106.42 Pd.upf
CELL_PARAMETERS angstrom
0.0000 3.0959 3.0959
3.0959 0.0000 3.0959
3.0959 3.0959 0.0000
ATOMIC_POSITIONS angstrom
Tm 0.0000 0.0000 0.0000
P 4.6439 4.6439 4.6439
Pd 3.0959 3.0959 3.0959
```

Properties
- Space-group type: F-43m (216)
- ΔE_f: -307 kJ/mol of formula units
- E: -18.3 eV per cell

***

Material: YAl
Method: DFT, PBE
State: optimized geometry Values from VASP.

```
&SYSTEM
  ibrav = 0, nat = 2, ntyp = 2
/
ATOMIC_SPECIES
Y 88.91 Y.upf
Al 26.98 Al.upf
CELL_PARAMETERS angstrom
0.0000 3.0055 3.0055
3.0055 0.0000 3.0055
3.0055 3.0055 0.0000
ATOMIC_POSITIONS angstrom
Y 0.0000 0.0000 0.0000
Al 3.0055 3.0055 3.0055
```

Properties
- Space-group type: Fm-3m (225)
- ΔE_f: 10 kJ/mol of formula units
- E: -10.1 eV per cell

***

Material: SrLiMo
Method: DFT, PBE
State: optimized geometry Values from VASP.

```
&SYSTEM
  ibrav = 0, nat = 6, ntyp = 3
/
ATOMIC_SPECIES
Sr 87.62 Sr.upf
Li 6.94 Li.upf
Mo 95.94 Mo.upf
CELL_PARAMETERS angstrom
3.4704 0.0000 0.0000
0.0000 3.4697 0.0000
-0.0114 0.0000 13.1464
ATOMIC_POSITIONS angstrom
Sr 0.8621 0.8674 3.6378
Sr 2.5968 2.6023 9.5085
Li 0.8569 0.8674 12.3404
Li 2.6021 2.6023 0.8060
Mo 0.8618 0.8674 7.0387
Mo 2.5971 2.6023 6.1077
```

Properties
- Space-group type: P2_1/m (11)
- ΔE_f: 109 kJ/mol of formula units
- E: -26.6 eV per cell

***

Material: KFe2I2Br6
Method: DFT, PBE
State: optimized geometry Values from VASP.

```
&SYSTEM
  ibrav = 0, nat = 11, ntyp = 4
/
ATOMIC_SPECIES
K 39.10 K.upf
Fe 55.84 Fe.upf
I 126.90 I.upf
Br 79.90 Br.upf
CELL_PARAMETERS angstrom
7.1353 0.0000 0.0000
-3.5677 6.1794 0.0000
0.0000 0.0000 10.8545
ATOMIC_POSITIONS angstrom
K 0.0000 0.0000 0.0000
Fe 0.0000 4.1196 8.0608
Fe 3.5677 2.0598 2.7937
I 0.0000 4.1196 5.5263
I 3.5677 2.0598 5.3282
Br -2.1937 3.8459 8.8144
Br 1.3338 2.3566 8.8144
Br 2.7078 0.0232 2.0401
Br 0.8599 6.1562 8.8144
Br 2.2338 3.8228 2.0401
Br 5.7614 2.3334 2.0401
```

Properties
- Formation energy without anion corrections: -0.59 eV per atom
- Space-group type: P-3 (147)
- E: -37.6 eV per cell